[1]
Here is crystalline PmTeF at its relaxed geometry from the Alexandria database. Energies are from PBE-GGA.

## Properties
E	-35.068	eV for the cell shown
energy relative to the elements, uncorrected	-7.8	eV/f.u.
total moment	0.0000	μB per atom
mass density	7.3	g/cm³
density of states at the Fermi level	0.04	states/eV/f.u.
SG	P4/nmm
E above lowest polymorph	0.030	eV/atom

Unit cell a=4.1776 b=4.1776 c=7.6308 alpha=90.00 beta=90.00 gamma=90.00
With the nearest neighbours (Å) after each atom.
Element x y z (fractional)
Pm: 0.2500 0.2500 0.1982  4 F 2.58
Pm: 0.7500 0.7500 0.8018  4 F 2.58
Te: 0.2500 0.2500 0.6401  5 Pm 3.20-3.37, 4 F 3.45
Te: 0.7500 0.7500 0.3599  5 Pm 3.20-3.37, 4 F 3.45
F: 0.2500 0.7500 0.0000  4 Pm 2.58
F: 0.7500 0.2500 0.0000  4 Pm 2.58

***

[2]
Here is crystalline TiMn3Tc at its relaxed geometry from the Alexandria database. Energies are from PBE-GGA.

## Properties
formation energy from the elements	1.342	eV/atom
E	-39.062	eV for the cell shown
total moment	1.4935	μB per atom
mass density	6.2	g/cm³
density of states at the Fermi level	8.87	states/eV/f.u.
SG	Pm-3m
E above lowest polymorph	0.228	eV/atom

Unit cell a=4.3564 b=4.3564 c=4.3564 alpha=90.00 beta=90.00 gamma=90.00
With the nearest neighbours (Å) after each atom.
Element x y z (fractional)
Ti: 0.0000 0.0000 0.0000  6 Mn 2.18
Mn: 0.0000 0.0000 0.5000  2 Ti 2.18
Mn: 0.0000 0.5000 0.0000  2 Ti 2.18
Mn: 0.5000 0.0000 0.0000  2 Ti 2.18
Tc: 0.5000 0.5000 0.5000  12 Mn 3.08

***

[3]
Here is crystalline Ce3Nd2PuP6 at its relaxed geometry from the Alexandria database. Energies are from PBE-GGA.

## Properties
formation energy from the elements	-1.456	eV/atom
E	-91.599	eV for the cell shown
total moment	0.5653	μB per atom
mass density	6.5	g/cm³
density of states at the Fermi level	21.72	states/eV/f.u.
SG	C2/m

Unit cell a=9.1678 b=9.1678 c=8.1969 alpha=102.85 beta=102.85 gamma=25.85
With the nearest neighbours (Å) after each atom.
Element x y z (fractional)
Ce: 0.0000 0.0000 0.0000  6 P 2.87-2.93
Ce: 0.3329 0.3329 0.6654  6 P 2.86-2.91
Ce: 0.6671 0.6671 0.3346  6 P 2.86-2.91
Nd: 0.3339 0.3339 0.1669  6 P 2.93-2.94
Nd: 0.6661 0.6661 0.8331  6 P 2.93-2.94
Pu: 0.0000 0.0000 0.5000  6 P 2.87-2.88
P: 0.1651 0.1651 0.0888  3 Ce 2.87, 3 Nd 2.94
P: 0.1657 0.1657 0.5777  3 Ce 2.86-2.91, 1 Pu 2.88, 2 Nd 2.93
P: 0.4980 0.4980 0.7445  3 Ce 2.87-2.93, 2 Pu 2.87, 1 Nd 2.93
P: 0.5020 0.5020 0.2555  3 Ce 2.87-2.93, 2 Pu 2.87, 1 Nd 2.93
P: 0.8343 0.8343 0.4223  3 Ce 2.86-2.91, 1 Pu 2.88, 2 Nd 2.93
P: 0.8349 0.8349 0.9112  3 Ce 2.87, 3 Nd 2.94

***

[4]
Here is crystalline LaTcTe2 at its relaxed geometry from the Alexandria database. Energies are from PBE-GGA.

## Properties
E	-22.427	eV for the cell shown
energy relative to the elements, uncorrected	-0.8	eV/f.u.
total moment	0.0001	μB per atom
mass density	6.6	g/cm³
density of states at the Fermi level	6.19	states/eV/f.u.
SG	R3m
E above lowest polymorph	0.582	eV/atom

Unit cell a=8.4642 b=8.4642 c=8.4642 alpha=28.74 beta=28.74 gamma=28.74
With the nearest neighbours (Å) after each atom.
Element x y z (fractional)
La: 0.0000 0.0000 0.0000  3 Te 3.12, 3 Tc 3.12
Tc: 0.2524 0.2524 0.2524  3 Te 2.62
Te: 0.5447 0.5447 0.5447  3 Tc 2.62
Te: 0.7471 0.7471 0.7471  3 La 3.12

***

[5]
Here is crystalline In2AsAu at its relaxed geometry from the Alexandria database. Energies are from PBE-GGA.

## Properties
formation energy from the elements	0.059	eV/atom
E	-13.168	eV for the cell shown
total moment	0.0000	μB per atom
mass density	9.4	g/cm³
density of states at the Fermi level	2.11	states/eV/f.u.
SG	P4/mmm
E above lowest polymorph	0.165	eV/atom

Unit cell a=3.5597 b=3.5597 c=6.9938 alpha=90.00 beta=90.00 gamma=90.00
With the nearest neighbours (Å) after each atom.
Element x y z (fractional)
In: 0.0000 0.0000 0.2437  4 Au 3.04, 4 As 3.09
In: 0.0000 0.0000 0.7563  4 Au 3.04, 4 As 3.09
As: 0.5000 0.5000 0.5000  8 In 3.09
Au: 0.5000 0.5000 0.0000  8 In 3.04

***

[6]
Here is crystalline TlCrReTc2 at its relaxed geometry from the Alexandria database. Energies are from PBE-GGA.

## Properties
formation energy from the elements	1.802	eV/atom
E	-36.158	eV for the cell shown
total moment	0.3927	μB per atom
mass density	11.4	g/cm³
density of states at the Fermi level	5.86	states/eV/f.u.
SG	P4/mmm

Unit cell a=4.3714 b=4.3714 c=4.8755 alpha=90.00 beta=90.00 gamma=90.00
With the nearest neighbours (Å) after each atom.
Element x y z (fractional)
Tl: 0.0000 0.0000 0.0000  2 Cr 2.44
Cr: 0.0000 0.0000 0.5000  4 Tc 2.19, 2 Tl 2.44
Re: 0.5000 0.5000 0.0000  4 Tl 3.09, 8 Tc 3.27
Tc: 0.0000 0.5000 0.5000  2 Cr 2.19
Tc: 0.5000 0.0000 0.5000  2 Cr 2.19

***

[7]
Here is crystalline AcPu2N3 at its relaxed geometry from the Alexandria database. Energies are from PBE-GGA.

## Properties
E	-63.934	eV for the cell shown
energy relative to the elements, uncorrected	-6.2	eV/f.u.
total moment	1.3602	μB per atom
mass density	12.5	g/cm³
density of states at the Fermi level	8.60	states/eV/f.u.
SG	P6/mmm

Unit cell a=5.9147 b=5.9147 c=3.3159 alpha=90.00 beta=90.00 gamma=120.00
With the nearest neighbours (Å) after each atom.
Element x y z (fractional)
Ac: 0.0000 0.0000 0.0000  6 N 2.96
Pu: 0.3333 0.6667 0.5000  6 N 2.38
Pu: 0.6667 0.3333 0.5000  6 N 2.38
N: 0.0000 0.5000 0.0000  4 Pu 2.38
N: 0.5000 0.0000 0.0000  4 Pu 2.38
N: 0.5000 0.5000 0.0000  4 Pu 2.38

***

[8]
Here is crystalline USi2NiPd at its relaxed geometry from the Alexandria database. Energies are from PBE-GGA.

## Properties
E	-35.998	eV for the cell shown
energy relative to the elements, uncorrected	-2.9	eV/f.u.
total moment	0.3924	μB per atom
mass density	9.5	g/cm³
density of states at the Fermi level	8.48	states/eV/f.u.
SG	I-4m2

Unit cell a=5.7687 b=5.7687 c=5.7687 alpha=139.55 beta=139.55 gamma=58.54
With the nearest neighbours (Å) after each atom.
Element x y z (fractional)
U: 0.0000 0.0000 0.0000  8 Si 3.05, 4 Pd 3.21, 4 Ni 3.21
Si: 0.3842 0.3842 0.0000  1 Si 2.33, 2 Ni 2.41, 2 Pd 2.41
Si: 0.6158 0.6158 0.0000  1 Si 2.33, 2 Ni 2.41, 2 Pd 2.41
Ni: 0.2500 0.7500 0.5000  4 Si 2.41
Pd: 0.7500 0.2500 0.5000  4 Si 2.41

***

[9]
Here is crystalline Ba2CdIr at its relaxed geometry from the Alexandria database. Energies are from PBE-GGA.

## Properties
formation energy from the elements	0.150	eV/atom
E	-13.021	eV for the cell shown
total moment	0.0000	μB per atom
mass density	8.1	g/cm³
density of states at the Fermi level	3.00	states/eV/f.u.
SG	I-4m2

Unit cell a=6.0912 b=6.0912 c=6.0912 alpha=132.86 beta=132.86 gamma=68.87
With the nearest neighbours (Å) after each atom.
Element x y z (fractional)
Ba: 0.0000 0.0000 0.0000  4 Ir 3.44, 4 Ba 3.50, 4 Cd 3.50
Ba: 0.7500 0.2500 0.5000  4 Cd 3.44, 4 Ba 3.50, 4 Ir 3.50
Cd: 0.2500 0.7500 0.5000  8 Ba 3.44-3.50, 4 Ir 3.50
Ir: 0.5000 0.5000 0.0000  8 Ba 3.44-3.50, 4 Cd 3.50

***

[10]
Here is crystalline Cs3Pr3ZrTe8 at its relaxed geometry from the Alexandria database. Energies are from PBE-GGA.

## Properties
E	-69.960	eV for the cell shown
energy relative to the elements, uncorrected	-19.4	eV/f.u.
total moment	0.0000	μB per atom
mass density	4.9	g/cm³
SG	R-3m

Unit cell a=10.5696 b=10.5696 c=10.5696 alpha=51.06 beta=51.06 gamma=51.06
With the nearest neighbours (Å) after each atom.
Element x y z (fractional)
Cs: 0.0000 0.5000 0.5000  6 Te 3.82-3.84
Cs: 0.5000 0.0000 0.5000  6 Te 3.82-3.84
Cs: 0.5000 0.5000 0.0000  6 Te 3.82-3.84
Pr: 0.0000 0.0000 0.5000  6 Te 3.20-3.22
Pr: 0.0000 0.5000 0.0000  6 Te 3.20-3.22
Pr: 0.5000 0.0000 0.0000  6 Te 3.20-3.22
Zr: 0.5000 0.5000 0.5000  6 Te 2.98
Te: 0.2327 0.2327 0.2327  3 Pr 3.20
Te: 0.2519 0.7172 0.7172  1 Zr 2.98, 2 Pr 3.22
Te: 0.2828 0.2828 0.7481  1 Zr 2.98, 2 Pr 3.22
Te: 0.2828 0.7481 0.2828  1 Zr 2.98, 2 Pr 3.22
Te: 0.7172 0.2519 0.7172  1 Zr 2.98, 2 Pr 3.22
Te: 0.7172 0.7172 0.2519  1 Zr 2.98, 2 Pr 3.22
Te: 0.7481 0.2828 0.2828  1 Zr 2.98, 2 Pr 3.22
Te: 0.7673 0.7673 0.7673  3 Pr 3.20